Compound: Cs2LiMg2
Source: the Alexandria database
Functional: PBE
Structure: relaxed

## Properties
As for the symmetry: I4/mmm. As for the raw total energy: -5.43 eV per formula unit. Its calculated formation energy is 275.7 meV/atom. The value obtained for the total moment is 0.00 μB/cell.

The structure in POSCAR format:
```
Cs2LiMg2
1.0
-2.222 2.222 12.910
2.222 -2.222 12.910
2.222 2.222 -12.910
Cs Li Mg
2 1 2
Direct
0.112 0.112 0.000
0.888 0.888 0.000
0.500 0.500 0.000
0.250 0.750 0.500
0.750 0.250 0.500
```

***

Compound: Sr2BiBr
Source: the Alexandria database
Functional: PBE
Structure: relaxed

## Properties
The calculation puts the uncorrected formation energy at -1100.9 meV/atom. As for the symmetry: I-42d. As for the raw total energy: -13.32 eV per formula unit. The value obtained for the total moment is 0.00 μB/cell.

The structure in POSCAR format:
```
Sr2BiBr
1.0
-3.511 3.511 8.053
3.511 -3.511 8.053
3.511 3.511 -8.053
Sr Bi Br
4 2 2
Direct
0.122 0.625 0.997
0.375 0.372 0.497
0.628 0.125 0.003
0.875 0.878 0.503
0.250 0.750 0.500
0.500 0.500 0.000
0.000 0.000 0.000
0.750 0.250 0.500
```